1.
# Ac2YNi | Alexandria | PBE | relaxed
data_Ac2YNi
_chemical_formula_sum 'Ac6 Y3 Ni3'
_space_group_name_H-M_alt 'R -3 m'
_space_group_IT_number 166
_space_group_name_Hall '-R 3 2"'
_cell_length_a 3.7655
_cell_length_b 3.7655
_cell_length_c 33.9812
_cell_angle_alpha 90.00
_cell_angle_beta 90.00
_cell_angle_gamma 120.00
loop_
_atom_site_label
_atom_site_fract_x
_atom_site_fract_y
_atom_site_fract_z
Ac1 0.0000 0.0000 0.0770
Y1 0.0000 0.0000 0.5000
Ni1 0.0000 0.0000 0.0000
# * formation energy from the elements: 0.50 eV per atom
# * crystal system: trigonal

=====

2.
# AcYNi10 | Alexandria | PBE | relaxed
data_AcYNi10
_chemical_formula_sum 'Ac1 Y1 Ni10'
_space_group_name_H-M_alt 'P m m m'
_space_group_IT_number 47
_space_group_name_Hall '-P 2 2'
_cell_length_a 3.972
_cell_length_b 4.985
_cell_length_c 8.664
_cell_angle_alpha 90.00
_cell_angle_beta 90.00
_cell_angle_gamma 90.00
loop_
_atom_site_label
_atom_site_fract_x
_atom_site_fract_y
_atom_site_fract_z
Ac1 0.000 0.000 0.000
Y1 0.000 0.500 0.500
Ni1 0.000 0.000 0.341
Ni2 0.000 0.500 0.177
Ni3 0.500 0.000 0.500
Ni4 0.500 0.254 0.259
Ni5 0.500 0.500 0.000
# * formation energy from the elements: -0.26 eV per atom
# * crystal system: orthorhombic

=====

3.
# AcYNi2 | Alexandria | PBE | relaxed
data_AcYNi2
_chemical_formula_sum 'Ac1 Y1 Ni2'
_space_group_name_H-M_alt 'P 4/m m m'
_space_group_IT_number 123
_space_group_name_Hall '-P 4 2'
_cell_length_a 3.557
_cell_length_b 3.557
_cell_length_c 6.983
_cell_angle_alpha 90.00
_cell_angle_beta 90.00
_cell_angle_gamma 90.00
loop_
_atom_site_label
_atom_site_fract_x
_atom_site_fract_y
_atom_site_fract_z
Ac1 0.000 0.000 0.000
Y1 0.000 0.000 0.500
Ni1 0.500 0.500 0.284
# * formation energy from the elements: -0.22 eV per atom
# * crystal system: tetragonal

=====

4.
# AcY3Ni | Alexandria | PBE | relaxed
data_AcY3Ni
_chemical_formula_sum 'Ac1 Y3 Ni1'
_space_group_name_H-M_alt 'P m -3 m'
_space_group_IT_number 221
_space_group_name_Hall '-P 4 2 3'
_cell_length_a 5.424
_cell_length_b 5.424
_cell_length_c 5.424
_cell_angle_alpha 90.00
_cell_angle_beta 90.00
_cell_angle_gamma 90.00
loop_
_atom_site_label
_atom_site_fract_x
_atom_site_fract_y
_atom_site_fract_z
Ac1 0.000 0.000 0.000
Y1 0.000 0.500 0.500
Ni1 0.500 0.500 0.500
# * formation energy from the elements: -0.11 eV per atom
# * crystal system: cubic

=====

5.
# AcYNi | Alexandria | PBE | relaxed
data_AcYNi
_chemical_formula_sum 'Ac1 Y1 Ni1'
_space_group_name_H-M_alt 'P 3 m 1'
_space_group_IT_number 156
_space_group_name_Hall 'P 3 -2"'
_cell_length_a 4.0825
_cell_length_b 4.0825
_cell_length_c 6.4825
_cell_angle_alpha 90.00
_cell_angle_beta 90.00
_cell_angle_gamma 120.00
loop_
_atom_site_label
_atom_site_fract_x
_atom_site_fract_y
_atom_site_fract_z
Ac1 0.0000 0.0000 0.0000
Y1 0.3333 0.6667 0.4850
Ni1 0.6667 0.3333 0.2674
# * formation energy from the elements: -0.12 eV per atom
# * crystal system: trigonal

=====

6.
# AcYNi | Alexandria | PBE | relaxed
data_AcYNi
_chemical_formula_sum 'Ac4 Y4 Ni4'
_space_group_name_H-M_alt 'I m m m'
_space_group_IT_number 71
_space_group_name_Hall '-I 2 2'
_cell_length_a 3.769
_cell_length_b 6.748
_cell_length_c 14.804
_cell_angle_alpha 90.00
_cell_angle_beta 90.00
_cell_angle_gamma 90.00
loop_
_atom_site_label
_atom_site_fract_x
_atom_site_fract_y
_atom_site_fract_z
Ac1 0.000 0.000 0.133
Y1 0.000 0.000 0.386
Ni1 0.000 0.319 0.000
# * formation energy from the elements: -0.02 eV per atom
# * crystal system: orthorhombic